(1)
A plane-wave DFT calculation with GGA-PBE was carried out for MnCuP4 after structural relaxation.

Cell and atoms, written as CIF:
```
data_MnCuP4
_chemical_formula_sum 'Mn4 Cu4 P16'
_cell_length_a 7.0953
_cell_length_b 7.0953
_cell_length_c 7.0953
_cell_angle_alpha 90.00
_cell_angle_beta 90.00
_cell_angle_gamma 90.00
_space_group_name_H-M_alt 'F -4 3 m'
_space_group_IT_number 216
_space_group_name_Hall 'F -4 2 3'
loop_
_atom_site_label
_atom_site_fract_x
_atom_site_fract_y
_atom_site_fract_z
Mn1 0.0000 0.0000 0.0000
Cu1 0.2500 0.2500 0.2500
P1 0.1241 0.1241 0.6241
```

Calculated values
Formation energy (kJ/mol of formula units): 353
Magnetization (μB per formula unit): 4.6

(2)
A plane-wave DFT calculation with GGA-PBE was carried out for Pr2Mn3Cu9P7 after structural relaxation.

Cell and atoms, written as CIF:
```
data_Pr2Mn3Cu9P7
_chemical_formula_sum 'Pr2 Mn3 Cu9 P7'
_cell_length_a 9.5545
_cell_length_b 9.5545
_cell_length_c 3.8549
_cell_angle_alpha 90.00
_cell_angle_beta 90.00
_cell_angle_gamma 120.00
_space_group_name_H-M_alt 'P -6'
_space_group_IT_number 174
_space_group_name_Hall 'P -6'
loop_
_atom_site_label
_atom_site_fract_x
_atom_site_fract_y
_atom_site_fract_z
Pr1 0.0000 0.0000 0.0000
Pr2 0.3333 0.6667 0.5000
Mn1 0.4529 0.2067 0.0000
Cu1 0.0440 0.2845 0.5000
Cu2 0.0913 0.7157 0.0000
Cu3 0.5069 0.4511 0.5000
P1 0.0757 0.4486 0.0000
P2 0.2572 0.2126 0.5000
P3 0.6667 0.3333 0.5000
```

Calculated values
Formation energy (kJ/mol of formula units): -843
Magnetization (μB per formula unit): 11.2

(3)
A plane-wave DFT calculation with GGA-PBE was carried out for MnCuPS2 after structural relaxation.

Cell and atoms, written as CIF:
```
data_MnCuPS2
_chemical_formula_sum 'Mn1 Cu1 P1 S2'
_cell_length_a 4.5337
_cell_length_b 4.5337
_cell_length_c 4.3995
_cell_angle_alpha 90.00
_cell_angle_beta 90.00
_cell_angle_gamma 90.00
_space_group_name_H-M_alt 'P 4/m m m'
_space_group_IT_number 123
_space_group_name_Hall '-P 4 2'
loop_
_atom_site_label
_atom_site_fract_x
_atom_site_fract_y
_atom_site_fract_z
Mn1 0.0000 0.0000 0.0000
Cu1 0.5000 0.5000 0.5000
P1 0.0000 0.0000 0.5000
S1 0.0000 0.5000 0.0000
```

Calculated values
Energy above the lowest structure with this stoichiometry (meV per atom): 0.0
Formation energy without anion corrections (eV per atom): 0.54
Magnetization (μB per formula unit): 2.5